*1*
Material: CuSb2W
Method: DFT, meta-GGA SCAN
State: PBEsol geometry Values from VASP.

The structure in Quantum ESPRESSO input format:
```
&SYSTEM
  ibrav = 0, nat = 4, ntyp = 3
/
ATOMIC_SPECIES
Cu 63.55 Cu.upf
Sb 121.76 Sb.upf
W 183.84 W.upf
CELL_PARAMETERS angstrom
1.828 -2.483 0.000
1.828 2.483 0.000
0.000 0.000 8.301
ATOMIC_POSITIONS angstrom
Cu 0.000 0.000 0.000
Sb 1.828 0.000 2.036
Sb 1.828 0.000 6.265
W 0.000 0.000 4.151
```

Output
The calculated density is 10.82 Mg/m³. The value obtained for the density of states at the Fermi level is 0.61 states/eV per atom.


*2*
Material: CuSb2W
Method: DFT, meta-GGA SCAN
State: PBEsol geometry Values from VASP.

The structure in Quantum ESPRESSO input format:
```
&SYSTEM
  ibrav = 0, nat = 4, ntyp = 3
/
ATOMIC_SPECIES
Cu 63.55 Cu.upf
Sb 121.76 Sb.upf
W 183.84 W.upf
CELL_PARAMETERS angstrom
4.608 0.000 0.000
0.000 4.608 0.000
0.000 0.000 3.385
ATOMIC_POSITIONS angstrom
Cu 0.000 0.000 0.000
Sb 0.000 2.304 1.692
Sb 2.304 0.000 1.692
W 2.304 2.304 0.000
```

Output
The calculated density is 11.34 Mg/m³. The value obtained for the density of states at the Fermi level is 0.60 states/eV per atom.


Which one sits at the top of the stability order? *2* does.


*1*
Material: SrScCu2
Method: DFT, meta-GGA SCAN
State: PBEsol geometry Values from VASP.

The structure in Quantum ESPRESSO input format:
```
&SYSTEM
  ibrav = 0, nat = 4, ntyp = 3
/
ATOMIC_SPECIES
Sr 87.62 Sr.upf
Sc 44.96 Sc.upf
Cu 63.55 Cu.upf
CELL_PARAMETERS angstrom
0.000 3.439 3.439
3.439 0.000 3.439
3.439 3.439 0.000
ATOMIC_POSITIONS angstrom
Sr 0.000 0.000 0.000
Sc 3.439 3.439 3.439
Cu 1.719 1.719 1.719
Cu 5.158 5.158 5.158
```

Output
The calculated density is 5.30 Mg/m³. The value obtained for the density of states at the Fermi level is 0.82 states/eV per atom.


*2*
Material: SrScCu2
Method: DFT, meta-GGA SCAN
State: PBEsol geometry Values from VASP.

The structure in Quantum ESPRESSO input format:
```
&SYSTEM
  ibrav = 0, nat = 4, ntyp = 3
/
ATOMIC_SPECIES
Sr 87.62 Sr.upf
Sc 44.96 Sc.upf
Cu 63.55 Cu.upf
CELL_PARAMETERS angstrom
-2.074 2.074 4.598
2.074 -2.074 4.598
2.074 2.074 -4.598
ATOMIC_POSITIONS angstrom
Sr 0.000 0.000 0.000
Sc 2.074 0.000 2.299
Cu 0.000 0.000 4.598
Cu 0.000 2.074 2.299
```

Output
The calculated density is 5.45 Mg/m³. The value obtained for the density of states at the Fermi level is 0.77 states/eV per atom.


Which one sits at the top of the stability order? *1* does.


*1*
Material: ScTaCu2
Method: DFT, meta-GGA SCAN
State: PBEsol geometry Values from VASP.

The structure in Quantum ESPRESSO input format:
```
&SYSTEM
  ibrav = 0, nat = 4, ntyp = 3
/
ATOMIC_SPECIES
Sc 44.96 Sc.upf
Ta 180.95 Ta.upf
Cu 63.55 Cu.upf
CELL_PARAMETERS angstrom
1.478 0.854 8.446
-1.478 0.854 8.446
0.000 -1.707 8.446
ATOMIC_POSITIONS angstrom
Sc 0.000 0.000 0.000
Ta 0.000 0.000 19.305
Cu 0.000 0.000 6.269
Cu 0.000 0.000 12.923
```

Output
The calculated density is 9.17 Mg/m³. The value obtained for the density of states at the Fermi level is 0.75 states/eV per atom.


*2*
Material: ScTaCu2
Method: DFT, meta-GGA SCAN
State: PBEsol geometry Values from VASP.

The structure in Quantum ESPRESSO input format:
```
&SYSTEM
  ibrav = 0, nat = 4, ntyp = 3
/
ATOMIC_SPECIES
Sc 44.96 Sc.upf
Ta 180.95 Ta.upf
Cu 63.55 Cu.upf
CELL_PARAMETERS angstrom
4.965 -1.389 0.000
4.965 1.389 0.000
-1.567 0.000 4.422
ATOMIC_POSITIONS angstrom
Sc 0.000 0.000 0.000
Ta 7.181 0.000 1.587
Cu 1.064 0.000 3.676
Cu 4.498 0.000 2.279
```

Output
The calculated density is 9.61 Mg/m³. The value obtained for the density of states at the Fermi level is 0.79 states/eV per atom.


Which one sits at the top of the stability order? *2* does.


*1*
Material: ScCuTc
Method: DFT, meta-GGA SCAN
State: PBEsol geometry Values from VASP.

The structure in Quantum ESPRESSO input format:
```
&SYSTEM
  ibrav = 0, nat = 3, ntyp = 3
/
ATOMIC_SPECIES
Sc 44.96 Sc.upf
Cu 63.55 Cu.upf
Tc 98.00 Tc.upf
CELL_PARAMETERS angstrom
0.000 2.942 2.942
2.942 0.000 2.942
2.942 2.942 0.000
ATOMIC_POSITIONS angstrom
Sc 0.000 0.000 0.000
Cu 4.413 4.413 4.413
Tc 2.942 2.942 2.942
```

Output
The calculated density is 6.73 Mg/m³. The value obtained for the density of states at the Fermi level is 0.98 states/eV per atom.


*2*
Material: ScCuTc
Method: DFT, meta-GGA SCAN
State: PBEsol geometry Values from VASP.

The structure in Quantum ESPRESSO input format:
```
&SYSTEM
  ibrav = 0, nat = 3, ntyp = 3
/
ATOMIC_SPECIES
Sc 44.96 Sc.upf
Cu 63.55 Cu.upf
Tc 98.00 Tc.upf
CELL_PARAMETERS angstrom
0.000 1.934 6.034
1.919 0.000 6.034
1.919 1.934 0.000
ATOMIC_POSITIONS angstrom
Sc 0.000 0.000 0.000
Cu 1.919 1.934 8.088
Tc 1.919 1.934 3.851
```

Output
The calculated density is 7.66 Mg/m³. The value obtained for the density of states at the Fermi level is 0.71 states/eV per atom.


Which one sits at the top of the stability order? *2* does.


*1*
Material: ScCuTc2
Method: DFT, meta-GGA SCAN
State: PBEsol geometry Values from VASP.

The structure in Quantum ESPRESSO input format:
```
&SYSTEM
  ibrav = 0, nat = 4, ntyp = 3
/
ATOMIC_SPECIES
Sc 44.96 Sc.upf
Cu 63.55 Cu.upf
Tc 98.00 Tc.upf
CELL_PARAMETERS angstrom
0.000 3.071 3.071
3.071 0.000 3.071
3.071 3.071 0.000
ATOMIC_POSITIONS angstrom
Sc 0.000 0.000 0.000
Cu 1.536 1.536 1.536
Tc 3.071 3.071 3.071
Tc 4.607 4.607 4.607
```

Output
The calculated density is 8.73 Mg/m³. The value obtained for the density of states at the Fermi level is 0.29 states/eV per atom.


*2*
Material: ScCuTc2
Method: DFT, meta-GGA SCAN
State: PBEsol geometry Values from VASP.

The structure in Quantum ESPRESSO input format:
```
&SYSTEM
  ibrav = 0, nat = 4, ntyp = 3
/
ATOMIC_SPECIES
Sc 44.96 Sc.upf
Cu 63.55 Cu.upf
Tc 98.00 Tc.upf
CELL_PARAMETERS angstrom
3.041 0.000 0.000
0.000 3.041 0.000
0.000 0.000 6.478
ATOMIC_POSITIONS angstrom
Sc 0.000 0.000 0.000
Cu 1.521 1.521 4.746
Tc 0.000 0.000 3.226
Tc 1.521 1.521 1.863
```

Output
The calculated density is 8.44 Mg/m³. The value obtained for the density of states at the Fermi level is 0.46 states/eV per atom.


*3*
Material: ScCuTc2
Method: DFT, meta-GGA SCAN
State: PBEsol geometry Values from VASP.

The structure in Quantum ESPRESSO input format:
```
&SYSTEM
  ibrav = 0, nat = 4, ntyp = 3
/
ATOMIC_SPECIES
Sc 44.96 Sc.upf
Cu 63.55 Cu.upf
Tc 98.00 Tc.upf
CELL_PARAMETERS angstrom
3.166 0.000 0.000
0.000 4.206 0.000
0.000 0.000 4.367
ATOMIC_POSITIONS angstrom
Sc 0.000 0.000 0.000
Cu 1.583 2.103 0.000
Tc 0.000 2.103 2.184
Tc 1.583 0.000 2.184
```

Output
The calculated density is 8.70 Mg/m³. The value obtained for the density of states at the Fermi level is 0.59 states/eV per atom.


Which one sits at the top of the stability order? *2* does.


*1*
Material: ScCu2W
Method: DFT, meta-GGA SCAN
State: PBEsol geometry Values from VASP.

The structure in Quantum ESPRESSO input format:
```
&SYSTEM
  ibrav = 0, nat = 4, ntyp = 3
/
ATOMIC_SPECIES
Sc 44.96 Sc.upf
Cu 63.55 Cu.upf
W 183.84 W.upf
CELL_PARAMETERS angstrom
-1.877 1.877 4.127
1.877 -1.877 4.127
1.877 1.877 -4.127
ATOMIC_POSITIONS angstrom
Sc 0.000 0.000 0.000
Cu 1.877 0.000 2.064
Cu 0.000 0.000 4.127
W 0.000 1.877 2.064
```

Output
The calculated density is 10.16 Mg/m³. The value obtained for the density of states at the Fermi level is 1.16 states/eV per atom.


*2*
Material: ScCu2W
Method: DFT, meta-GGA SCAN
State: PBEsol geometry Values from VASP.

The structure in Quantum ESPRESSO input format:
```
&SYSTEM
  ibrav = 0, nat = 4, ntyp = 3
/
ATOMIC_SPECIES
Sc 44.96 Sc.upf
Cu 63.55 Cu.upf
W 183.84 W.upf
CELL_PARAMETERS angstrom
2.761 0.000 0.000
0.000 2.761 0.000
0.000 0.000 7.647
ATOMIC_POSITIONS angstrom
Sc 0.000 0.000 0.000
Cu 0.000 0.000 4.084
Cu 1.380 1.380 5.626
W 1.380 1.380 2.268
```

Output
The calculated density is 10.14 Mg/m³. The value obtained for the density of states at the Fermi level is 0.70 states/eV per atom.


Which one sits at the top of the stability order? *2* does.